# 1
Here is a geometry-optimized Ca2ZnCSe structure from the Alexandria database. Energies are from PBE-GGA.

## Properties
- Formation energy without anion corrections: -0.111 eV/atom
- Size of the total moment: 0.00 μB per formula unit

Lattice parameters (Å, degrees): 5.523 3.622 5.523 90.00 90.00 90.00
Sites, in units of the cell vectors:
Se  0.500  0.500  0.500
C  0.000  0.500  0.000
Ca  0.500  0.000  0.000
Ca  0.000  0.000  0.500
Zn  0.000  0.000  0.000



# 2
Here is a geometry-optimized KLi2CuBr4 structure from the Alexandria database. Energies are from PBE-GGA.

## Properties
- Formation energy without anion corrections: -1.224 eV/atom
- Size of the total moment: 0.17 μB per formula unit

Lattice parameters (Å, degrees): 6.802 6.802 6.802 119.54 119.54 90.79
Sites, in units of the cell vectors:
Br  0.050  0.050  0.409
Br  0.360  0.950  0.000
Cu  0.000  0.000  0.000
Li  0.750  0.250  0.500
K  0.500  0.500  0.000
Li  0.250  0.750  0.500
Br  0.640  0.640  0.591
Br  0.950  0.360  0.000



# 3
Here is a geometry-optimized AcDy2Si structure from the Alexandria database. Energies are from PBE-GGA.

## Properties
- Formation energy without anion corrections: -0.044 eV/atom
- Size of the total moment: 0.00 μB per formula unit

Lattice parameters (Å, degrees): 3.906 3.906 11.011 79.78 79.78 60.00
Sites, in units of the cell vectors:
Ac  0.000  0.000  0.000
Dy  0.116  0.116  0.653
Dy  0.884  0.884  0.347
Si  0.500  0.500  0.500



# 4
Here is a geometry-optimized NbRu3Br structure from the Alexandria database. Energies are from PBE-GGA.

## Properties
- Formation energy without anion corrections: 1.488 eV/atom
- Size of the total moment: 0.19 μB per formula unit

Lattice parameters (Å, degrees): 4.507 4.507 4.507 90.00 90.00 90.00
Sites, in units of the cell vectors:
Ru  0.000  0.000  0.500
Ru  0.500  0.000  0.000
Ru  0.000  0.500  0.000
Br  0.000  0.000  0.000
Nb  0.500  0.500  0.500



Among the records above, which one has the lowest formation energy without anion corrections?
KLi2CuBr4